A plane-wave DFT calculation with PBE-GGA was carried out for a relaxed SiAsOs2 crystal.

Geometry as POSCAR:
```
SiAsOs2
1.0
4.393 0.000 0.000
2.196 3.804 0.000
2.196 1.268 3.587
Os Si As
2 1 1
Direct
0.250 0.250 0.250
0.000 0.000 0.000
0.750 0.750 0.750
0.500 0.500 0.500
```

Calculated values
**Total magnetization**: 0.0 μB per formula unit
**Polymorph energy (0 for the lowest one)**: 0.6777 eV/atom
**Calculated volume**: 59.94 Å³/cell
**N(E_F)**: 1.330 states/eV per atom
**Formation energy (no corrections)**: 716 meV/atom